Record 1
Below is crystalline LiBiSeS2 at its relaxed geometry, with properties calculated at the PBE level.

Lattice parameters (Å, degrees): 5.0894 7.5056 5.0894 90.00 90.00 90.00
Closest atoms and distances in Å follow each position.
Sites, in units of the cell vectors:
S1 0.0000 0.0000 0.5000  2 Bi 2.54
S2 0.5000 0.0000 0.0000  2 Bi 2.54
Bi1 0.0000 0.0000 0.0000  4 S 2.54
Se1 0.5000 0.5000 0.5000  4 Li 3.60
Li1 0.0000 0.5000 0.0000  4 Se 3.60, 2 Bi 3.75

Calculated values
ΔE_f (raw) ... 2.65 eV/f.u.
Crystal system ... tetragonal

***

Record 2
Below is crystalline LiSmBi2S4 at its relaxed geometry, with properties calculated at the PBE level.

Lattice parameters (Å, degrees): 3.9011 6.8159 8.4212 120.06 90.00 90.00
Closest atoms and distances in Å follow each position.
Sites, in units of the cell vectors:
Li1 0.5000 0.5000 0.0000  6 S 2.61-2.77
Sm1 0.0000 0.0000 0.0000  6 S 2.77-2.80
Bi1 0.5000 0.0000 0.5000  4 S 2.83
Bi2 0.0000 0.5000 0.5000  4 S 2.87
S1 0.5000 0.3214 0.2110  1 Li 2.61, 2 Sm 2.80, 2 Bi 2.87
S2 0.5000 0.6786 0.7890  1 Li 2.61, 2 Sm 2.80, 2 Bi 2.87
S3 0.0000 0.1952 0.7799  1 Sm 2.77, 2 Li 2.77, 2 Bi 2.83
S4 0.0000 0.8048 0.2201  1 Sm 2.77, 2 Li 2.77, 2 Bi 2.83

Calculated values
ΔE_f (raw) ... -6.92 eV/f.u.
Crystal system ... monoclinic

***

Record 3
Below is crystalline Li2SmBiS at its relaxed geometry, with properties calculated at the PBE level.

Lattice parameters (Å, degrees): 4.6249 4.6249 5.6371 90.00 90.00 90.00
Closest atoms and distances in Å follow each position.
Sites, in units of the cell vectors:
Li1 0.0000 0.5000 0.9586  2 S 2.34
Li2 0.5000 0.0000 0.9586  2 S 2.34
Sm1 0.0000 0.0000 0.5086  2 S 2.74-2.90
Bi1 0.5000 0.5000 0.5513  4 Li 3.26, 4 Sm 3.28
S1 0.0000 0.0000 0.0229  4 Li 2.34

Calculated values
ΔE_f (raw) ... -5.48 eV/f.u.
Crystal system ... tetragonal

***

Record 4
Below is crystalline LiSnBi2S5 at its relaxed geometry, with properties calculated at the PBE level.

Lattice parameters (Å, degrees): 3.9050 8.4882 13.6105 90.00 90.00 103.30
Closest atoms and distances in Å follow each position.
Sites, in units of the cell vectors:
Li1 0.5465 0.0929 0.9586  4 S 2.49-2.72
Li2 0.4535 0.9071 0.4586  4 S 2.49-2.72
Sn1 0.7667 0.5333 0.5118  4 S 2.59-2.82
Sn2 0.2333 0.4667 0.0118  4 S 2.59-2.82
Bi1 0.8657 0.7313 0.7531  5 S 2.74-2.92
Bi2 0.0766 0.1533 0.6601  5 S 2.71-2.93
Bi3 0.1343 0.2687 0.2531  5 S 2.74-2.92
Bi4 0.9234 0.8467 0.1601  5 S 2.71-2.93
S1 0.3904 0.7807 0.0231  1 Sn 2.60, 1 Li 2.72, 2 Bi 2.75
S2 0.7165 0.4330 0.8885  2 Sn 2.59
S3 0.4945 0.9890 0.7862  1 Li 2.50
S4 0.2633 0.5266 0.6741  3 Bi 2.80-3.09, 2 Sn 2.95
S5 0.9310 0.8620 0.5683  2 Li 2.49, 2 Bi 2.71-2.74
S6 0.6096 0.2193 0.5231  1 Sn 2.60, 1 Li 2.72, 2 Bi 2.75
S7 0.2835 0.5670 0.3885  2 Sn 2.59
S8 0.5055 0.0110 0.2862  1 Li 2.50
S9 0.7367 0.4734 0.1741  3 Bi 2.80-3.09, 2 Sn 2.95
S10 0.0690 0.1380 0.0683  2 Li 2.49, 2 Bi 2.71-2.74

Calculated values
ΔE_f (raw) ... -4.16 eV/f.u.
Crystal system ... orthorhombic

***

Record 5
Below is crystalline LiSn2BiS4 at its relaxed geometry, with properties calculated at the PBE level.

Lattice parameters (Å, degrees): 4.0744 6.9728 6.9417 71.32 90.00 90.00
Closest atoms and distances in Å follow each position.
Sites, in units of the cell vectors:
Li1 0.5000 0.5000 0.0000  6 S 2.71-2.82
Sn1 0.0000 0.0000 0.0000  6 S 2.83-2.89
Sn2 0.5000 0.0000 0.5000  6 S 2.93-2.94
Bi1 0.0000 0.5000 0.5000  6 S 2.82-2.86
S1 0.0000 0.7405 0.7584  1 Bi 2.82, 2 Li 2.82, 3 Sn 2.83-2.93
S2 0.0000 0.2595 0.2416  1 Bi 2.82, 2 Li 2.82, 3 Sn 2.83-2.93
S3 0.5000 0.7378 0.2419  1 Li 2.71, 2 Bi 2.86, 3 Sn 2.89-2.94
S4 0.5000 0.2622 0.7581  1 Li 2.71, 2 Bi 2.86, 3 Sn 2.89-2.94

Calculated values
ΔE_f (raw) ... -4.37 eV/f.u.
Crystal system ... monoclinic

***

Record 6
Below is crystalline Li3SnBi3S8 at its relaxed geometry, with properties calculated at the PBE level.

Lattice parameters (Å, degrees): 7.9111 7.9105 7.7888 120.53 90.00 120.00
Closest atoms and distances in Å follow each position.
Sites, in units of the cell vectors:
Li1 0.0000 0.0000 0.0000  6 S 2.72-2.73
Li2 0.0000 0.5000 0.0000  6 S 2.72-2.73
Li3 0.5000 0.5000 0.0000  6 S 2.72-2.73
Sn1 0.0000 0.0000 0.5000  6 S 2.60
Bi1 0.5000 0.0000 0.5000  6 S 2.82-2.85
Bi2 0.5000 0.5000 0.5000  6 S 2.82-2.85
Bi3 0.0000 0.5000 0.5000  6 S 2.82-2.85
S1 0.2455 0.4911 0.2367  3 Li 2.73, 3 Bi 2.82
S2 0.7545 0.5089 0.7633  3 Li 2.73, 3 Bi 2.82
S3 0.7656 0.5312 0.2542  1 Sn 2.60, 2 Li 2.72, 2 Bi 2.85
S4 0.2344 0.4688 0.7458  1 Sn 2.60, 2 Li 2.72, 2 Bi 2.85
S5 0.7656 0.9885 0.2542  1 Sn 2.60, 2 Li 2.72, 2 Bi 2.85
S6 0.2344 0.0115 0.7458  1 Sn 2.60, 2 Li 2.72, 2 Bi 2.85
S7 0.2229 0.9885 0.2542  1 Sn 2.60, 2 Li 2.72, 2 Bi 2.85
S8 0.7771 0.0115 0.7458  1 Sn 2.60, 2 Li 2.72, 2 Bi 2.85

Calculated values
ΔE_f (raw) ... -10.10 eV/f.u.
Crystal system ... trigonal

***

Record 7
Below is crystalline Li2SnBi3S6 at its relaxed geometry, with properties calculated at the PBE level.

Lattice parameters (Å, degrees): 4.2119 7.8629 8.8940 100.90 103.70 90.00
Closest atoms and distances in Å follow each position.
Sites, in units of the cell vectors:
Li1 0.8306 0.6747 0.6613  6 S 2.74-2.95
Li2 0.1694 0.3253 0.3387  6 S 2.74-2.95
Sn1 0.5000 0.0000 0.0000  6 S 2.87-2.90
Bi1 0.5000 0.5000 0.0000  6 S 2.87
Bi2 0.8309 0.1749 0.6617  6 S 2.75-2.97
Bi3 0.1691 0.8251 0.3382  6 S 2.75-2.97
S1 0.3312 0.9085 0.6624  3 Bi 2.75-2.97, 2 Li 2.79, 1 Sn 2.87
S2 0.6693 0.5874 0.3386  3 Li 2.74-2.95, 3 Bi 2.82-2.87
S3 0.6688 0.0915 0.3376  3 Bi 2.75-2.97, 2 Li 2.79, 1 Sn 2.87
S4 0.0054 0.2551 0.0109  1 Li 2.78, 3 Bi 2.87-2.96, 2 Sn 2.90
S5 0.9946 0.7449 0.9891  1 Li 2.78, 3 Bi 2.87-2.96, 2 Sn 2.90
S6 0.3307 0.4126 0.6614  3 Li 2.74-2.95, 3 Bi 2.82-2.87

Calculated values
ΔE_f (raw) ... -6.55 eV/f.u.
Crystal system ... monoclinic

***

Record 8
Below is crystalline Li4SnBi3S8 at its relaxed geometry, with properties calculated at the PBE level.

Lattice parameters (Å, degrees): 7.8968 7.7908 7.8952 120.47 120.01 90.00
Closest atoms and distances in Å follow each position.
Sites, in units of the cell vectors:
Li1 0.5000 0.0000 0.0000  6 S 2.77-2.78
Li2 0.5000 0.0000 0.5000  6 S 2.71-2.72
Li3 0.0000 0.0000 0.0000  6 S 2.72
Li4 0.0000 0.0000 0.5000  6 S 2.71-2.72
Sn1 0.0000 0.5000 0.0000  6 S 2.77
Bi1 0.5000 0.5000 0.0000  6 S 2.83
Bi2 0.5000 0.5000 0.5000  6 S 2.83
Bi3 0.0000 0.5000 0.5000  6 S 2.83
S1 0.2502 0.7609 0.0109  3 Li 2.71-2.78, 1 Sn 2.77, 2 Bi 2.83
S2 0.2503 0.7609 0.5005  3 Li 2.72-2.77, 1 Sn 2.77, 2 Bi 2.83
S3 0.2449 0.2351 0.4899  3 Li 2.72, 3 Bi 2.83
S4 0.7607 0.7609 0.0109  3 Li 2.71-2.78, 1 Sn 2.77, 2 Bi 2.83
S5 0.2393 0.2391 0.9891  3 Li 2.71-2.78, 1 Sn 2.77, 2 Bi 2.83
S6 0.7551 0.7649 0.5101  3 Li 2.72, 3 Bi 2.83
S7 0.7497 0.2391 0.4995  3 Li 2.72-2.77, 1 Sn 2.77, 2 Bi 2.83
S8 0.7498 0.2391 0.9891  3 Li 2.71-2.78, 1 Sn 2.77, 2 Bi 2.83

Calculated values
ΔE_f (raw) ... -11.60 eV/f.u.
Crystal system ... trigonal

***

What calculated total energy values result from the calculations? In sequence: -2.977, -4.728, -4.408, -4.275, -4.335, -4.301, -4.232, -4.245 eV/atom.